Entry 1:
Ir2RuW | the Alexandria database | PBE | optimized geometry; V = 14.75 Å³ per atom; energy relative to the lowest polymorph listed for this composition = 0.61 eV per formula unit; energy relative to the elements = -0.113 eV/atom; E_tot = -10.10 eV per atom
1.0
4.7591 0.0005 0.0009
3.9671 2.6289 0.0009
0.7847 0.2364 4.7150
Ir W Ru
2 1 1
Direct
0.7515 0.7515 0.7422
0.9984 0.9984 0.0025
0.2504 0.2504 0.2476
0.4998 0.4998 0.5077

---

Entry 2:
DyNpC | the Alexandria database | PBE | optimized geometry; V = 19.98 Å³ per atom; energy relative to the lowest polymorph listed for this composition = 0.45 eV per formula unit; energy relative to the elements = 0.233 eV/atom; E_tot = -8.69 eV per atom
1.0
3.6910 0.0000 0.0000
0.0000 3.3070 0.0000
0.0000 1.6535 9.8233
C Dy Np
2 2 2
Direct
0.2500 0.5615 0.8770
0.7500 0.4385 0.1230
0.7500 0.3192 0.3617
0.2500 0.6808 0.6383
0.7500 0.0397 0.9207
0.2500 0.9603 0.0793

---

Entry 3:
ErTl3Se3 | the Alexandria database | PBE | optimized geometry; V = 33.29 Å³ per atom; E_tot = -4.11 eV per atom
1.0
4.2058 0.0000 0.0000
0.0000 9.0242 0.0384
0.0000 0.6810 12.2824
Tl Er Se
6 2 6
Direct
0.2500 0.8523 0.8772
0.7500 0.6651 0.1446
0.2500 0.3349 0.8554
0.2500 0.3866 0.3623
0.7500 0.1477 0.1228
0.7500 0.6134 0.6377
0.2500 0.8880 0.3828
0.7500 0.1120 0.6172
0.7500 0.1057 0.3845
0.7500 0.6709 0.3913
0.2500 0.9061 0.1507
0.7500 0.0939 0.8493
0.2500 0.8943 0.6155
0.2500 0.3291 0.6087

---

Entry 4:
SrTlAg2 | the Alexandria database | PBE | optimized geometry; V = 27.04 Å³ per atom; energy relative to the elements = -0.181 eV/atom; E_tot = -2.62 eV per atom
1.0
4.9376 0.0000 0.0000
0.0000 4.0923 0.0000
0.0000 -2.0461 10.7064
Sr Tl Ag
2 2 4
Direct
0.7500 0.0966 0.1932
0.2500 0.9034 0.8068
0.2500 0.6659 0.3318
0.7500 0.3341 0.6682
0.7500 0.7361 0.4722
0.2500 0.5310 0.0619
0.2500 0.2639 0.5278
0.7500 0.4690 0.9381